Material: Na2Sr3Ca6
Method: DFT, PBE
State: optimized geometry

Cell and atoms, written as POSCAR:
```
Na2Sr3Ca6
1.0
4.915 0.000 -0.993
-0.201 4.911 -0.993
1.634 1.702 20.744
Na Ca Sr
2 6 3
Direct
0.642 0.642 0.284
0.358 0.358 0.716
0.921 0.421 0.842
0.079 0.579 0.158
0.729 0.729 0.459
0.271 0.271 0.541
0.579 0.079 0.158
0.421 0.921 0.842
0.830 0.830 0.660
0.170 0.170 0.340
0.000 0.000 0.000
```

- total magnetization (μB/atom) = 0.000
- calculated formation energy (eV/atom) = 0.1671
- DFT total energy (eV for the cell shown) = -17.9